# Sr2In6AgPt (PBE-GGA, relaxed)
data_Sr2In6AgPt
_cell_length_a 10.6710
_cell_length_b 10.6710
_cell_length_c 10.6710
_cell_angle_alpha 90.00
_cell_angle_beta 90.00
_cell_angle_gamma 90.00
_space_group_name_H-M_alt 'F m -3 m'
_space_group_IT_number 225
_space_group_name_Hall '-F 4 2 3'
loop_
_atom_site_label
_atom_site_fract_x
_atom_site_fract_y
_atom_site_fract_z
Sr1 0.2500 0.2500 0.2500
In1 0.0000 0.0000 0.2481
Ag1 0.0000 0.0000 0.5000
Pt1 0.0000 0.0000 0.0000
# Energy relative to the elements in eV per atom: -0.154
# Raw total energy in eV per atom: -3.023
# Size of the total moment in μB/f.u.: 0.000